VASP calculation (PBE with a Hubbard U) on crystalline Mn2BIrO at its relaxed geometry.

Cell and atoms, written as POSCAR:
```
Mn2BIrO
1.0
5.113 0.000 0.000
0.000 5.113 0.000
0.000 0.000 3.658
Mn B Ir O
2 1 1 1
Direct
0.000 0.500 0.000
0.500 0.000 0.000
0.000 0.000 0.500
0.500 0.500 0.000
0.500 0.500 0.500
```

Values from the calculation:
DOS(E_F): 0.596 states/eV per atom
VASP energy: -6.126 eV/atom